Model a:
A plane-wave DFT calculation with GGA-PBEsol was carried out for a geometry-optimized TaReBr2 structure.

## Properties
The space group is Immm, No. 71. The crystal system is orthorhombic.

a b c (Å): 3.196 4.218 7.415
angles (deg): 106.53 102.45 90.00
Each line ends with the local moment (μB).
Fractional positions:
Re 0.500 0.000 0.000  1.21
Br 0.656 0.656 0.313  0.07
Br 0.344 0.344 0.687  0.07
Ta 0.000 0.500 0.000  -0.14

Model b:
A plane-wave DFT calculation with GGA-PBEsol was carried out for a geometry-optimized TaReBr2 structure.

## Properties
The space group is I-4m2, No. 119. The crystal system is tetragonal.

a b c (Å): 4.242 4.943 4.242
angles (deg): 64.59 90.00 115.41
Fractional positions:
Re 0.500 0.000 0.500
Br 0.000 0.000 0.000
Br 0.250 0.500 0.250
Ta 0.750 0.500 0.750

Tell me which of them is the most stable. Sure, it is model a.

Model a:
A plane-wave DFT calculation with GGA-PBEsol was carried out for a geometry-optimized Re2TeBr structure.

## Properties
The space group is Fm-3m, No. 225. The crystal system is cubic.

a b c (Å): 4.548 4.548 4.548
angles (deg): 60.00 60.00 60.00
Fractional positions:
Re 0.250 0.250 0.250
Re 0.750 0.750 0.750
Te 0.500 0.500 0.500
Br 0.000 0.000 0.000

Model b:
A plane-wave DFT calculation with GGA-PBEsol was carried out for a geometry-optimized Re2TeBr structure.

## Properties
The space group is Pmmm, No. 47. The crystal system is orthorhombic.

a b c (Å): 2.975 4.617 5.148
angles (deg): 90.00 90.00 90.00
Fractional positions:
Re 0.000 0.000 0.000
Re 0.500 0.000 0.500
Te 0.500 0.500 0.000
Br 0.000 0.500 0.500

Model c:
A plane-wave DFT calculation with GGA-PBEsol was carried out for a geometry-optimized Re2TeBr structure.

## Properties
The space group is Cmmm, No. 65. The crystal system is orthorhombic.

a b c (Å): 3.050 3.109 8.760
angles (deg): 90.00 90.00 119.37
Fractional positions:
Re 0.000 0.000 0.742
Re 0.000 0.000 0.258
Te 0.500 0.000 0.500
Br 0.500 0.000 0.000

Tell me which of them is the most stable. Sure, it is model a.

Model a:
A plane-wave DFT calculation with GGA-PBEsol was carried out for a geometry-optimized ReW2Br structure.

## Properties
The space group is P4mm, No. 99. The crystal system is tetragonal.

a b c (Å): 3.028 3.028 6.963
angles (deg): 90.00 90.00 90.00
Fractional positions:
Re 0.500 0.500 0.773
Br 0.000 0.000 0.491
W 0.000 0.000 0.991
W 0.500 0.500 0.245

Model b:
A plane-wave DFT calculation with GGA-PBEsol was carried out for a geometry-optimized ReW2Br structure.

## Properties
The space group is F-43m, No. 216. The crystal system is cubic.

a b c (Å): 4.484 4.484 4.484
angles (deg): 60.00 60.00 60.00
Fractional positions:
Re 0.250 0.250 0.250
Br 0.500 0.500 0.500
W 0.000 0.000 0.000
W 0.750 0.750 0.750

Tell me which of them is the most stable. Sure, it is model a.

Model a:
A plane-wave DFT calculation with GGA-PBEsol was carried out for a geometry-optimized Zn2ReBr structure.

## Properties
The space group is Immm, No. 71. The crystal system is orthorhombic.

a b c (Å): 2.917 4.559 5.507
angles (deg): 114.45 105.36 90.00
Fractional positions:
Br 0.500 0.000 0.000
Re 0.000 0.500 0.000
Zn 0.733 0.733 0.467
Zn 0.267 0.267 0.533

Model b:
A plane-wave DFT calculation with GGA-PBEsol was carried out for a geometry-optimized Zn2ReBr structure.

## Properties
The space group is C2/m, No. 12. The crystal system is monoclinic.

a b c (Å): 2.898 4.591 5.152
angles (deg): 103.67 106.34 90.00
Fractional positions:
Br 0.000 0.500 0.000
Re 0.500 0.000 0.000
Zn 0.233 0.219 0.467
Zn 0.767 0.781 0.533

Tell me which of them is the most stable. Sure, it is model b.

Model a:
A plane-wave DFT calculation with GGA-PBEsol was carried out for a geometry-optimized Zn2ReBr structure.

## Properties
The space group is Cmmm, No. 65. The crystal system is orthorhombic.

a b c (Å): 2.935 2.935 8.108
angles (deg): 90.00 90.00 108.70
Fractional positions:
Br 0.500 0.500 0.500
Re 0.500 0.500 0.000
Zn 0.000 0.000 0.232
Zn 0.000 0.000 0.768

Model b:
A plane-wave DFT calculation with GGA-PBEsol was carried out for a geometry-optimized Zn2ReBr structure.

## Properties
The space group is Cmm2, No. 35. The crystal system is orthorhombic.

a b c (Å): 2.819 2.935 9.679
angles (deg): 90.00 90.00 118.70
Fractional positions:
Br 0.000 0.000 0.543
Re 0.500 0.000 0.758
Zn 0.000 0.000 0.985
Zn 0.500 0.000 0.213

Tell me which of them is the most stable. Sure, it is model a.

Model a:
A plane-wave DFT calculation with GGA-PBEsol was carried out for a geometry-optimized RuRh2Br structure.

## Properties
The space group is Cmmm, No. 65. The crystal system is orthorhombic.

a b c (Å): 2.813 4.690 4.690
angles (deg): 109.95 90.00 90.00
Fractional positions:
Br 0.500 0.000 0.000
Rh 0.000 0.000 0.500
Rh 0.000 0.500 0.000
Ru 0.500 0.500 0.500

Model b:
A plane-wave DFT calculation with GGA-PBEsol was carried out for a geometry-optimized RuRh2Br structure.

## Properties
The space group is Pmmm, No. 47. The crystal system is orthorhombic.

a b c (Å): 2.751 3.497 6.777
angles (deg): 90.00 90.00 90.00
Fractional positions:
Br 0.000 0.500 0.500
Rh 0.000 0.000 0.806
Rh 0.000 0.000 0.194
Ru 0.500 0.500 0.000

Model c:
A plane-wave DFT calculation with GGA-PBEsol was carried out for a geometry-optimized RuRh2Br structure.

## Properties
The space group is I4/mmm, No. 139. The crystal system is tetragonal.

a b c (Å): 3.951 3.951 4.675
angles (deg): 115.00 115.00 90.00
Fractional positions:
Br 0.000 0.000 0.000
Rh 0.750 0.250 0.500
Rh 0.250 0.750 0.500
Ru 0.500 0.500 0.000

Tell me which of them is the most stable. Sure, it is model b.